# 1
First-principles (PBE) data for an optimized crystal structure of MnHgTe2, as listed in the Alexandria database.

a b c (Å): 4.604 4.602 6.424
angles (deg): 90.00 90.01 90.00
Atoms (fractional coordinates):
Mn1 0.000 0.000 0.000
Hg1 0.498 0.500 0.500
Te1 0.500 0.000 0.769
Te2 0.999 0.500 0.231

Properties
E	-4.0656	eV/atom
total moment	4.97	μB per formula unit
uncorrected formation energy	-0.5	eV per formula unit
space-group type	Pm (6)

# 2
First-principles (PBE) data for an optimized crystal structure of Na2Y3Te4Cl3O12, as listed in the Alexandria database.

a b c (Å): 12.371 12.371 16.809
angles (deg): 132.19 132.19 26.15
Atoms (fractional coordinates):
Na1 0.044 0.628 0.934
Na2 0.372 0.956 0.566
Na3 0.628 0.044 0.434
Na4 0.956 0.372 0.066
Y1 0.244 0.756 0.250
Y2 0.251 0.746 0.914
Y3 0.254 0.749 0.586
Y4 0.746 0.251 0.414
Y5 0.749 0.254 0.086
Y6 0.756 0.244 0.750
Te1 0.069 0.667 0.305
Te2 0.174 0.556 0.597
Te3 0.333 0.931 0.195
Te4 0.444 0.826 0.903
Te5 0.556 0.174 0.097
Te6 0.667 0.069 0.805
Te7 0.826 0.444 0.403
Te8 0.931 0.333 0.695
Cl1 0.000 0.500 0.000
Cl2 0.009 0.500 0.337
Cl3 0.500 0.000 0.500
Cl4 0.500 0.009 0.837
Cl5 0.500 0.991 0.163
Cl6 0.991 0.500 0.663
O1 0.007 0.860 0.289
O2 0.017 0.130 0.386
O3 0.065 0.103 0.076
O4 0.103 0.065 0.576
O5 0.130 0.017 0.886
O6 0.140 0.993 0.211
O7 0.361 0.496 0.743
O8 0.375 0.488 0.411
O9 0.391 0.440 0.075
O10 0.440 0.391 0.575
O11 0.488 0.375 0.911
O12 0.496 0.361 0.243
O13 0.504 0.639 0.757
O14 0.512 0.625 0.089
O15 0.560 0.609 0.425
O16 0.609 0.560 0.925
O17 0.625 0.512 0.589
O18 0.639 0.504 0.257
O19 0.860 0.007 0.789
O20 0.870 0.983 0.114
O21 0.897 0.935 0.424
O22 0.935 0.897 0.924
O23 0.983 0.870 0.614
O24 0.993 0.140 0.711

Properties
E	-6.1784	eV/atom
total moment	0.00	μB per formula unit
uncorrected formation energy	-48.6	eV per formula unit
space-group type	C2/c (15)

# 3
First-principles (PBE) data for an optimized crystal structure of AgBi2H2, as listed in the Alexandria database.

a b c (Å): 7.555 7.555 4.062
angles (deg): 90.00 90.00 90.00
Atoms (fractional coordinates):
Ag1 0.000 0.000 0.000
Ag2 0.500 0.500 0.000
Bi1 0.149 0.351 0.000
Bi2 0.351 0.851 0.000
Bi3 0.649 0.149 0.000
Bi4 0.851 0.649 0.000
H1 0.199 0.301 0.500
H2 0.301 0.801 0.500
H3 0.699 0.199 0.500
H4 0.801 0.699 0.500

Properties
E	-3.0921	eV/atom
E above lowest polymorph	209	meV per atom
total moment	0.00	μB per formula unit
space-group type	P4/mbm (127)

# 4
First-principles (PBE) data for an optimized crystal structure of Ag2PRu, as listed in the Alexandria database.

a b c (Å): 5.391 5.391 5.391
angles (deg): 139.94 139.94 57.94
Atoms (fractional coordinates):
Ag1 0.250 0.750 0.500
Ag2 0.750 0.250 0.500
P1 0.000 0.000 0.000
Ru1 0.500 0.500 0.000

Properties
E	-4.6286	eV/atom
E above lowest polymorph	514	meV per atom
formation energy	0.47	eV per atom
total moment	0.96	μB per formula unit
space-group type	I4/mmm (139)

- Which of these has the highest E?
  AgBi2H2

- Among the records above, which one has the highest total moment?
  MnHgTe2